Model 1:
Tm3Co2 PBE relaxed; space group = No. 65
1.0
3.853 0.000 0.000
0.000 3.675 -1.173
0.000 0.346 7.427
Tm Co
3 2
Direct
0.500 0.500 0.000
0.000 0.151 0.302
0.000 0.849 0.698
0.500 0.300 0.599
0.500 0.700 0.401

Model 2:
Tm3Co2 PBE relaxed; space group = No. 12
1.0
4.557 0.000 0.000
-2.279 7.009 0.562
0.000 -1.003 9.756
Tm Co
9 6
Direct
0.499 0.998 0.333
0.165 0.330 0.336
0.500 0.000 0.000
0.501 0.002 0.667
0.834 0.667 0.997
0.166 0.333 0.003
0.835 0.670 0.664
0.169 0.337 0.669
0.831 0.663 0.331
0.670 0.340 0.498
0.002 0.005 0.164
0.998 0.995 0.836
0.330 0.660 0.502
0.663 0.325 0.170
0.337 0.675 0.830

Model 3:
Tm3Co2 PBE relaxed; space group = No. 167
1.0
6.532 0.000 0.000
3.266 5.657 0.000
3.266 1.886 5.999
Co Tm
4 6
Direct
0.821 0.821 0.538
0.179 0.179 0.462
0.679 0.679 0.962
0.321 0.321 0.038
0.892 0.250 0.250
0.392 0.108 0.750
0.108 0.750 0.750
0.750 0.392 0.750
0.250 0.608 0.250
0.608 0.892 0.250

Which of them is the least stable? Correct choice: model 3.

Model 1:
Tm4Co PBE relaxed; space group = No. 43
1.0
7.067 -0.418 0.000
-3.109 6.360 0.000
-1.979 -2.971 6.311
Tm Co
8 2
Direct
0.193 0.933 0.164
0.279 0.519 0.336
0.692 0.428 0.165
0.183 0.943 0.664
0.262 0.527 0.835
0.769 0.029 0.836
0.777 0.012 0.335
0.678 0.442 0.665
0.235 0.235 0.000
0.485 0.985 0.500

Model 2:
Tm4Co PBE relaxed; space group = No. 221
1.0
5.187 0.000 0.000
0.000 5.187 0.000
0.000 0.000 5.187
Tm Co
4 1
Direct
0.500 0.500 0.000
0.000 0.500 0.500
0.500 0.000 0.500
0.000 0.000 0.000
0.500 0.500 0.500

Model 3:
Tm4Co PBE relaxed; space group = No. 227
1.0
-6.239 -3.022 -2.475
-6.383 3.584 0.767
-3.368 2.824 -5.904
Tm Co
8 2
Direct
0.364 0.364 0.364
0.364 0.364 0.908
0.886 0.886 0.342
0.364 0.908 0.364
0.342 0.886 0.886
0.908 0.364 0.364
0.886 0.342 0.886
0.886 0.886 0.886
0.500 0.500 0.500
0.750 0.750 0.750

Which of them is the least stable? Correct choice: model 3.

Model 1:
YTm3Co PBE relaxed; space group = No. 12
1.0
-1.939 -0.693 -6.425
1.721 -0.994 -6.447
-0.892 -10.930 1.351
Tm Y Co
6 2 2
Direct
0.061 0.061 0.629
0.560 0.560 0.149
0.787 0.787 0.638
0.440 0.440 0.851
0.213 0.213 0.362
0.939 0.939 0.371
0.172 0.172 0.906
0.828 0.828 0.094
0.417 0.417 0.556
0.583 0.583 0.444

Model 2:
YTm3Co PBE relaxed; space group = No. 14
1.0
7.204 0.000 0.000
0.000 7.670 -0.133
0.000 -2.689 9.517
Tm Y Co
12 4 4
Direct
0.490 0.793 0.384
0.298 0.586 0.034
0.202 0.586 0.534
0.798 0.414 0.466
0.372 0.085 0.895
0.990 0.207 0.116
0.510 0.207 0.616
0.702 0.414 0.966
0.872 0.915 0.605
0.128 0.085 0.395
0.010 0.793 0.884
0.628 0.915 0.105
0.445 0.312 0.245
0.945 0.688 0.255
0.555 0.688 0.755
0.055 0.312 0.745
0.254 0.954 0.610
0.246 0.954 0.110
0.746 0.046 0.390
0.754 0.046 0.890

Which of them is the least stable? Correct choice: model 2.

Model 1:
YTmCo2 PBE relaxed; space group = No. 225
1.0
-0.849 4.569 0.670
-0.731 1.641 4.338
3.233 2.711 2.060
Y Co Tm
1 2 1
Direct
0.500 0.500 0.500
0.250 0.250 0.250
0.750 0.750 0.750
0.000 0.000 0.000

Model 2:
YTmCo2 PBE relaxed; space group = No. 26
1.0
3.855 0.000 0.000
0.000 5.497 0.000
0.000 0.000 7.463
Co Tm Y
4 2 2
Direct
0.000 0.355 0.028
0.500 0.158 0.974
0.500 0.842 0.474
0.000 0.645 0.528
0.500 0.366 0.321
0.500 0.634 0.821
0.000 0.865 0.177
0.000 0.135 0.677

Which of them is the least stable? Correct choice: model 1.

Model 1:
YTm2Co2 PBE relaxed; space group = No. 12
1.0
-0.138 -1.550 3.369
5.032 1.758 1.015
-3.165 4.975 0.114
Tm Y Co
2 1 2
Direct
0.351 0.420 0.702
0.649 0.580 0.298
0.000 0.000 0.000
0.282 0.896 0.564
0.718 0.104 0.436

Model 2:
YTm2Co2 PBE relaxed; space group = No. 127
1.0
7.140 0.000 0.000
0.000 7.140 0.000
0.000 0.000 8.257
Tm Co Y
8 8 4
Direct
0.829 0.329 0.000
0.329 0.171 0.500
0.829 0.329 0.500
0.171 0.671 0.500
0.671 0.829 0.000
0.329 0.171 0.000
0.171 0.671 0.000
0.671 0.829 0.500
0.889 0.611 0.250
0.611 0.111 0.250
0.111 0.389 0.250
0.389 0.889 0.250
0.611 0.111 0.750
0.111 0.389 0.750
0.389 0.889 0.750
0.889 0.611 0.750
0.000 0.000 0.250
0.500 0.500 0.750
0.000 0.000 0.750
0.500 0.500 0.250

Which of them is the least stable? Correct choice: model 1.

Model 1:
YTm3Co2 PBE relaxed; space group = No. 12
1.0
3.658 0.000 0.737
1.537 7.935 1.819
-0.081 -0.011 9.845
Tm Y Co
6 2 4
Direct
0.159 0.928 0.754
0.585 0.268 0.563
0.584 0.774 0.058
0.416 0.226 0.942
0.415 0.732 0.437
0.841 0.072 0.246
0.843 0.571 0.743
0.157 0.429 0.257
0.768 0.917 0.547
0.232 0.582 0.953
0.232 0.083 0.453
0.768 0.418 0.047

Model 2:
YTm3Co2 PBE relaxed; space group = No. 72
1.0
-3.477 -1.841 -5.147
-4.805 -2.534 4.152
1.088 7.968 0.493
Tm Co Y
6 4 2
Direct
0.236 0.986 0.473
0.764 0.514 0.527
0.764 0.014 0.527
0.236 0.486 0.473
0.500 0.250 0.000
0.500 0.750 0.000
0.419 0.637 0.274
0.581 0.363 0.726
0.145 0.863 0.726
0.855 0.137 0.274
0.000 0.000 0.000
0.000 0.500 0.000

Which of them is the least stable? Correct choice: model 2.

Model 1:
Y2TmCo2 PBE relaxed; space group = No. 71
1.0
3.633 0.000 1.548
0.975 5.053 2.749
-0.333 0.104 5.821
Y Co Tm
2 2 1
Direct
0.696 0.804 0.304
0.304 0.196 0.696
0.000 0.192 0.307
0.000 0.808 0.693
0.500 0.500 0.000

Model 2:
Y2TmCo2 PBE relaxed; space group = No. 15
1.0
-2.330 1.879 4.988
-2.429 -4.790 -2.722
5.458 -3.188 3.750
Co Tm Y
4 2 4
Direct
0.308 0.324 0.510
0.984 0.676 0.990
0.692 0.676 0.490
0.016 0.324 0.010
0.093 0.000 0.750
0.907 0.000 0.250
0.774 0.312 0.650
0.462 0.688 0.850
0.538 0.312 0.150
0.226 0.688 0.350

Which of them is the least stable? Correct choice: model 1.

Model 1:
Tm12ZnCo6 PBE relaxed; space group = No. 148
1.0
0.835 4.446 -6.850
-2.782 -7.452 -2.029
-5.542 3.644 4.837
Tm Co Zn
12 6 1
Direct
0.149 0.392 0.450
0.853 0.333 0.034
0.667 0.966 0.147
0.147 0.667 0.966
0.851 0.608 0.550
0.550 0.851 0.608
0.392 0.450 0.149
0.608 0.550 0.851
0.333 0.034 0.853
0.966 0.147 0.667
0.450 0.149 0.392
0.034 0.853 0.333
0.366 0.713 0.786
0.713 0.786 0.366
0.786 0.366 0.713
0.214 0.634 0.287
0.287 0.214 0.634
0.634 0.287 0.214
0.000 0.000 0.000

Model 2:
Tm12ZnCo6 PBE relaxed; space group = No. 204
1.0
-6.515 2.591 -4.240
4.654 -4.758 -4.780
-2.511 -4.294 6.512
Tm Co Zn
12 6 1
Direct
0.107 0.807 0.300
0.506 0.807 0.700
0.494 0.193 0.300
0.193 0.700 0.893
0.193 0.300 0.494
0.300 0.494 0.193
0.807 0.700 0.506
0.700 0.506 0.807
0.893 0.193 0.700
0.807 0.300 0.107
0.300 0.107 0.807
0.700 0.893 0.193
0.500 0.115 0.615
0.115 0.615 0.500
0.615 0.500 0.115
0.385 0.500 0.885
0.500 0.885 0.385
0.885 0.385 0.500
0.000 0.000 0.000

Which of them is the least stable? Correct choice: model 1.